1.
First-principles (SCAN) data for a PBEsol-optimized structure of ScBe2Tl, as listed in Alexandria.

- SG: Amm2, No. 38
- Crystal system: orthorhombic
- ΔE to the lowest computed polymorph: 0.00 kJ/mol of atoms
- Total moment: 0.0 μB per formula unit
- Formation enthalpy at 0 K: 0.0312 eV/atom

Cell lengths 3.7408, 4.7838, 4.7838 Å; angles 46.43, 90.00, 90.00 degrees
Sites, in units of the cell vectors:
Sc1 0.0000 0.0000 0.0000
Be1 0.0000 0.6986 0.6986
Be2 0.5000 0.5846 0.5846
Tl1 0.5000 0.2892 0.2892

=====

2.
First-principles (SCAN) data for a PBEsol-optimized structure of ScBeTl2, as listed in Alexandria.

- SG: C2/m, No. 12
- Crystal system: monoclinic
- Total moment: 0.4 μB per formula unit
- Formation enthalpy at 0 K: 0.2534 eV/atom

Cell lengths 5.8105, 5.8105, 3.2608 Å; angles 105.36, 105.36, 115.77 degrees
Sites, in units of the cell vectors:
Sc1 0.0000 0.0000 0.0000
Be1 0.5000 0.5000 0.0000
Tl1 0.0000 0.5000 0.5000
Tl2 0.5000 0.0000 0.5000

=====

3.
First-principles (SCAN) data for a PBEsol-optimized structure of ZrScBe2Tl, as listed in Alexandria.

- SG: P4/mmm, No. 123
- Crystal system: tetragonal
- Total moment: 0.0 μB per formula unit
- Formation enthalpy at 0 K: 1.2839 eV/atom

Cell lengths 4.7248, 4.7248, 4.8336 Å; angles 90.00, 90.00, 90.00 degrees
Sites, in units of the cell vectors:
Zr1 0.0000 0.0000 0.0000
Sc1 0.0000 0.0000 0.5000
Be1 0.0000 0.5000 0.0000
Be2 0.5000 0.0000 0.0000
Tl1 0.5000 0.5000 0.5000

=====

- total moment of number 3 (ZrScBe2Tl)?
  0.0 μB per formula unit

=====

- What is the total moment in the second record?
  0.4 μB per formula unit

=====

- Which value of total moment does entry 2 give?
  0.4 μB per formula unit